Below is a geometry-optimized Si2Ni3H4O9 structure, with properties calculated at the PBE with a Hubbard U level.

- total energy (eV per atom) = -5.940

POSCAR file:
```
Si2Ni3H4O9
1.0
5.3431 0.0000 0.0000
-2.6715 4.6272 0.0000
0.0000 0.0000 7.3282
Ni H O Si
3 4 9 2
Direct
0.3322 0.0000 0.7276 Ni
0.6678 0.6678 0.7276 Ni
0.0000 0.3322 0.7276 Ni
0.6525 0.0000 0.4611 H
0.0000 0.0000 0.0071 H
0.0000 0.6525 0.4611 H
0.3475 0.3475 0.4611 H
0.0000 0.5172 0.1920 O
0.5172 0.0000 0.1920 O
0.0000 0.0000 0.8748 O
0.4828 0.4828 0.1920 O
0.6667 0.3333 0.8883 O
0.3333 0.6667 0.8883 O
0.0000 0.6646 0.5936 O
0.6646 0.0000 0.5936 O
0.3354 0.3354 0.5936 O
0.3333 0.6667 0.1079 Si
0.6667 0.3333 0.1079 Si
```